The following is a PBE-GGA calculation of a relaxed structure of SrScTc2Bi, from Alexandria via LeMat-Bulk.

extended XYZ file:
```
5
Lattice="-0.2120 -4.6426 0.8601 4.0591 0.5331 3.8782 -3.2741 0.7649 3.3217" Properties=species:S:1:pos:R:3 pbc="T T T"
Sc 0.0000 0.0000 0.0000
Sr 2.0296 0.2666 1.9391
Bi 0.2865 -1.6723 4.0300
Tc -1.6370 0.3824 1.6608
Tc -0.1060 -2.3213 0.4300
```

## Properties
Theoretical density in g cm⁻³: 7.1
Density of states at the Fermi level in states/eV per cell: 6.72
Uncorrected energy in eV per atom: -5.319
Symmetry: P4/mmm, No. 123